# 1
VASP calculation (PBE) on a relaxed structure of CsSrGeW2.

The space group is P4/mmm (No. 123) and the conventional cell measures 5.0275, 5.0275 and 5.8513 Å, with angles of 90.00, 90.00 and 90.00 degrees. The distinct sites, in fractional coordinates, are Cs at (0.0000, 0.0000, 0.0000), Sr at (0.0000, 0.0000, 0.5000), Ge at (0.5000, 0.5000, 0.5000) and W at (0.0000, 0.5000, 0.0000).

As for the calculated formation energy: 3.011 eV per atom. The value obtained for the volume is 148 Å³/f.u. The value obtained for the total DFT energy (no corrections) is -3.60 eV/atom.

---

# 2
VASP calculation (PBE) on a relaxed structure of RbMn4Br12.

The space group is Im-3 (No. 204) and the conventional cell measures 9.9038, 9.9038 and 9.9038 Å, with angles of 90.00, 90.00 and 90.00 degrees. The distinct sites, in fractional coordinates, are Rb at (0.0000, 0.0000, 0.0000), Mn at (0.2500, 0.2500, 0.2500) and Br at (0.0000, 0.3026, 0.1921).

The value obtained for the volume is 486 Å³/f.u. The uncorrected formation energy is -0.738 eV per atom. The value obtained for the total DFT energy (no corrections) is -4.13 eV/atom.